! GGA-PBE Th2PdC, relaxed; values from VASP
! E_form	-0.12	eV/atom
! energy relative to the lowest polymorph listed for this composition	0.278	eV/atom
! space group	R-3m, No. 166
! density	10470	kg/m3
&SYSTEM
  ibrav = 0, nat = 12, ntyp = 3
/
ATOMIC_SPECIES
Th 232.04 Th.upf
Pd 106.42 Pd.upf
C 12.01 C.upf
CELL_PARAMETERS angstrom
3.5292 0.0000 0.0000
-1.7646 3.0564 0.0000
0.0000 0.0000 25.6951
ATOMIC_POSITIONS crystal
Th 0.0000 0.0000 0.1074
Th 0.0000 0.0000 0.8926
Th 0.3333 0.6667 0.5593
Th 0.3333 0.6667 0.7741
Th 0.6667 0.3333 0.2259
Th 0.6667 0.3333 0.4407
Pd 0.0000 0.0000 0.0000
Pd 0.3333 0.6667 0.6667
Pd 0.6667 0.3333 0.3333
C 0.0000 0.0000 0.5000
C 0.3333 0.6667 0.1667
C 0.6667 0.3333 0.8333